# 1
LiCu: optimized geometry, PBEsol.

- E_tot (eV per atom) = -3.138
- V (Å³/atom) = 12.4
- SG = Cm (8)

CIF file:
```
data_LiCu
_symmetry_space_group_name_H-M 'P 1'
_symmetry_Int_Tables_number 1
_symmetry_space_group_name_Hall 'P 1'
_cell_length_a 5.046
_cell_length_b 5.046
_cell_length_c 6.243
_cell_angle_alpha 103.90
_cell_angle_beta 103.90
_cell_angle_gamma 28.86
loop_
_atom_site_label
_atom_site_type_symbol
_atom_site_fract_x
_atom_site_fract_y
_atom_site_fract_z
Li1 Li 0.000 0.000 0.000
Li2 Li 0.052 0.052 0.625
Li3 Li 0.376 0.376 0.291
Cu1 Cu 0.311 0.311 0.666
Cu2 Cu 0.660 0.660 0.335
Cu3 Cu 0.727 0.727 0.957
```

=====

# 2
CrRh3: optimized geometry, PBEsol.

- E_tot (eV per atom) = -8.748
- V (Å³/atom) = 12.9
- SG = Pmm2 (25)

CIF file:
```
data_CrRh3
_symmetry_space_group_name_H-M 'P 1'
_symmetry_Int_Tables_number 1
_symmetry_space_group_name_Hall 'P 1'
_cell_length_a 2.664
_cell_length_b 4.204
_cell_length_c 4.602
_cell_angle_alpha 90.00
_cell_angle_beta 90.00
_cell_angle_gamma 90.00
loop_
_atom_site_label
_atom_site_type_symbol
_atom_site_fract_x
_atom_site_fract_y
_atom_site_fract_z
Cr1 Cr 0.000 0.000 0.000
Rh1 Rh 0.000 0.500 0.324
Rh2 Rh 0.500 0.000 0.491
Rh3 Rh 0.500 0.500 0.832
```

=====

# 3
Sc3TcO: optimized geometry, PBEsol.

- E_tot (eV per atom) = -8.520
- V (Å³/atom) = 15.7
- SG = Pm-3m (221)
- E_form (uncorrected) (eV/atom) = -1.2536

CIF file:
```
data_Sc3TcO
_symmetry_space_group_name_H-M 'P 1'
_symmetry_Int_Tables_number 1
_symmetry_space_group_name_Hall 'P 1'
_cell_length_a 4.283
_cell_length_b 4.283
_cell_length_c 4.283
_cell_angle_alpha 90.00
_cell_angle_beta 90.00
_cell_angle_gamma 90.00
loop_
_atom_site_label
_atom_site_type_symbol
_atom_site_fract_x
_atom_site_fract_y
_atom_site_fract_z
Sc1 Sc 0.000 0.000 0.500
Sc2 Sc 0.000 0.500 0.000
Sc3 Sc 0.500 0.000 0.000
Tc1 Tc 0.500 0.500 0.500
O1 O 0.000 0.000 0.000
```

=====

# 4
LaSc5: optimized geometry, PBEsol.

- E_tot (eV per atom) = -6.352
- V (Å³/atom) = 25.2
- SG = Cm (8)
- excess energy over the best structure of this formula in the dataset (meV per atom) = 0

CIF file:
```
data_LaSc5
_symmetry_space_group_name_H-M 'P 1'
_symmetry_Int_Tables_number 1
_symmetry_space_group_name_Hall 'P 1'
_cell_length_a 6.196
_cell_length_b 6.196
_cell_length_c 7.753
_cell_angle_alpha 102.94
_cell_angle_beta 102.94
_cell_angle_gamma 31.47
loop_
_atom_site_label
_atom_site_type_symbol
_atom_site_fract_x
_atom_site_fract_y
_atom_site_fract_z
La1 La 0.000 0.000 0.000
Sc1 Sc 0.053 0.053 0.597
Sc2 Sc 0.327 0.327 0.649
Sc3 Sc 0.379 0.379 0.277
Sc4 Sc 0.668 0.668 0.335
Sc5 Sc 0.722 0.722 0.924
```

=====

# 5
LiFeCu2: optimized geometry, PBEsol.

- E_tot (eV per atom) = -4.781
- V (Å³/atom) = 11.4
- SG = Pmm2 (25)

CIF file:
```
data_LiFeCu2
_symmetry_space_group_name_H-M 'P 1'
_symmetry_Int_Tables_number 1
_symmetry_space_group_name_Hall 'P 1'
_cell_length_a 2.440
_cell_length_b 4.211
_cell_length_c 4.447
_cell_angle_alpha 90.00
_cell_angle_beta 90.00
_cell_angle_gamma 90.00
loop_
_atom_site_label
_atom_site_type_symbol
_atom_site_fract_x
_atom_site_fract_y
_atom_site_fract_z
Li1 Li 0.000 0.000 0.000
Fe1 Fe 0.000 0.500 0.356
Cu1 Cu 0.500 0.000 0.500
Cu2 Cu 0.500 0.500 0.848
```

=====

# 6
BaNi2Ru: optimized geometry, PBEsol.

- E_tot (eV per atom) = -5.962
- V (Å³/atom) = 20.4
- SG = R3m (160)

CIF file:
```
data_BaNi2Ru
_symmetry_space_group_name_H-M 'P 1'
_symmetry_Int_Tables_number 1
_symmetry_space_group_name_Hall 'P 1'
_cell_length_a 6.004
_cell_length_b 6.004
_cell_length_c 6.004
_cell_angle_alpha 40.27
_cell_angle_beta 40.27
_cell_angle_gamma 40.27
loop_
_atom_site_label
_atom_site_type_symbol
_atom_site_fract_x
_atom_site_fract_y
_atom_site_fract_z
Ba1 Ba 0.000 0.000 0.000
Ni1 Ni 0.182 0.182 0.182
Ni2 Ni 0.502 0.502 0.502
Ru1 Ru 0.818 0.818 0.818
```

=====

# 7
K2CdAu: optimized geometry, PBEsol.

- E_tot (eV per atom) = -1.991
- V (Å³/atom) = 39.2
- SG = R3m (160)

CIF file:
```
data_K2CdAu
_symmetry_space_group_name_H-M 'P 1'
_symmetry_Int_Tables_number 1
_symmetry_space_group_name_Hall 'P 1'
_cell_length_a 8.360
_cell_length_b 8.360
_cell_length_c 8.360
_cell_angle_alpha 33.29
_cell_angle_beta 33.29
_cell_angle_gamma 33.29
loop_
_atom_site_label
_atom_site_type_symbol
_atom_site_fract_x
_atom_site_fract_y
_atom_site_fract_z
K1 K 0.000 0.000 0.000
K2 K 0.178 0.178 0.178
Cd1 Cd 0.422 0.422 0.422
Au1 Au 0.756 0.756 0.756
```

=====

# 8
GaReAuN2: optimized geometry, PBEsol.

- E_tot (eV per atom) = -6.995
- V (Å³/atom) = 15.7
- SG = P4/mmm (123)
- E_form (uncorrected) (eV/atom) = 0.5344

CIF file:
```
data_GaReAuN2
_symmetry_space_group_name_H-M 'P 1'
_symmetry_Int_Tables_number 1
_symmetry_space_group_name_Hall 'P 1'
_cell_length_a 3.781
_cell_length_b 3.781
_cell_length_c 5.480
_cell_angle_alpha 90.00
_cell_angle_beta 90.00
_cell_angle_gamma 90.00
loop_
_atom_site_label
_atom_site_type_symbol
_atom_site_fract_x
_atom_site_fract_y
_atom_site_fract_z
Ga1 Ga 0.000 0.000 0.000
Re1 Re 0.000 0.000 0.500
Au1 Au 0.500 0.500 0.000
N1 N 0.000 0.500 0.500
N2 N 0.500 0.000 0.500
```

=====

# 9
KCdI2N: optimized geometry, PBEsol.

- E_tot (eV per atom) = -2.066
- V (Å³/atom) = 40.2
- SG = P4/mmm (123)
- E_form (uncorrected) (eV/atom) = 0.8126

CIF file:
```
data_KCdI2N
_symmetry_space_group_name_H-M 'P 1'
_symmetry_Int_Tables_number 1
_symmetry_space_group_name_Hall 'P 1'
_cell_length_a 6.344
_cell_length_b 6.344
_cell_length_c 4.991
_cell_angle_alpha 90.00
_cell_angle_beta 90.00
_cell_angle_gamma 90.00
loop_
_atom_site_label
_atom_site_type_symbol
_atom_site_fract_x
_atom_site_fract_y
_atom_site_fract_z
K1 K 0.000 0.000 0.000
Cd1 Cd 0.500 0.500 0.500
I1 I 0.000 0.500 0.000
I2 I 0.500 0.000 0.000
N1 N 0.000 0.000 0.500
```

=====

# 10
Al2IrRu: optimized geometry, PBEsol.

- E_tot (eV per atom) = -7.899
- V (Å³/atom) = 13.2
- SG = Fm-3m (225)

CIF file:
```
data_Al2IrRu
_symmetry_space_group_name_H-M 'P 1'
_symmetry_Int_Tables_number 1
_symmetry_space_group_name_Hall 'P 1'
_cell_length_a 4.211
_cell_length_b 4.211
_cell_length_c 4.211
_cell_angle_alpha 60.00
_cell_angle_beta 60.00
_cell_angle_gamma 60.00
loop_
_atom_site_label
_atom_site_type_symbol
_atom_site_fract_x
_atom_site_fract_y
_atom_site_fract_z
Al1 Al 0.250 0.250 0.250
Al2 Al 0.750 0.750 0.750
Ir1 Ir 0.000 0.000 0.000
Ru1 Ru 0.500 0.500 0.500
```

=====

# 11
KSb4F13: optimized geometry, PBEsol.

- E_tot (eV per atom) = -4.919
- V (Å³/atom) = 15.3
- SG = I-4 (82)
- E_form (uncorrected) (eV/atom) = -2.4510
- excess energy over the best structure of this formula in the dataset (meV per atom) = 0

CIF file:
```
data_KSb4F13
_symmetry_space_group_name_H-M 'P 1'
_symmetry_Int_Tables_number 1
_symmetry_space_group_name_Hall 'P 1'
_cell_length_a 7.321
_cell_length_b 7.321
_cell_length_c 7.321
_cell_angle_alpha 100.61
_cell_angle_beta 100.61
_cell_angle_gamma 129.17
loop_
_atom_site_label
_atom_site_type_symbol
_atom_site_fract_x
_atom_site_fract_y
_atom_site_fract_z
K1 K 0.000 0.000 0.000
Sb1 Sb 0.202 0.526 0.727
Sb2 Sb 0.474 0.201 0.676
Sb3 Sb 0.525 0.798 0.324
Sb4 Sb 0.799 0.475 0.273
F1 F 0.166 0.503 0.129
F2 F 0.190 0.257 0.774
F3 F 0.250 0.750 0.500
F4 F 0.374 0.037 0.871
F5 F 0.465 0.024 0.285
F6 F 0.483 0.416 0.226
F7 F 0.497 0.626 0.662
F8 F 0.584 0.810 0.066
F9 F 0.739 0.180 0.715
F10 F 0.743 0.517 0.934
F11 F 0.820 0.535 0.559
F12 F 0.963 0.834 0.338
F13 F 0.976 0.261 0.441
```

=====

# 12
K3Au: optimized geometry, PBEsol.

- E_tot (eV per atom) = -1.872
- V (Å³/atom) = 53.0
- SG = P2/m (10)

CIF file:
```
data_K3Au
_symmetry_space_group_name_H-M 'P 1'
_symmetry_Int_Tables_number 1
_symmetry_space_group_name_Hall 'P 1'
_cell_length_a 6.594
_cell_length_b 4.637
_cell_length_c 7.673
_cell_angle_alpha 90.00
_cell_angle_beta 115.39
_cell_angle_gamma 90.00
loop_
_atom_site_label
_atom_site_type_symbol
_atom_site_fract_x
_atom_site_fract_y
_atom_site_fract_z
K1 K 0.000 0.000 0.000
K2 K 0.341 0.500 0.682
K3 K 0.659 0.500 0.318
Au1 Au 0.500 0.000 0.000
```